1.
PBE-GGA La4BiI5, relaxed; crystal system = monoclinic; magnetic moment = 0.000 μB per atom; formation energy without anion corrections = -1.27 eV per atom
1.0
-0.697 4.339 0.551
-8.129 -1.905 4.721
6.746 -2.086 7.165
La Bi I
4 1 5
Direct
0.333 0.937 0.666 La
0.999 0.764 0.998 La
0.667 0.063 0.334 La
0.001 0.236 0.002 La
0.500 0.000 0.000 Bi
0.832 0.681 0.663 I
0.832 0.196 0.665 I
0.168 0.804 0.335 I
0.500 0.500 0.000 I
0.168 0.319 0.337 I

---

2.
PBE-GGA AcZn4Ni2, relaxed; energy relative to the lowest polymorph listed for this composition = 40 meV/atom; energy relative to the elements = -1.405 eV/f.u.; crystal system = triclinic; magnetic moment = 0.000 μB per atom
1.0
4.498 0.290 2.548
1.522 4.242 3.226
-0.493 0.697 6.778
Ac Zn Ni
1 4 2
Direct
0.000 0.000 0.000 Ac
0.706 0.532 0.156 Zn
0.294 0.468 0.844 Zn
0.741 0.892 0.619 Zn
0.259 0.108 0.381 Zn
0.733 0.519 0.509 Ni
0.267 0.481 0.491 Ni

---

3.
PBE-GGA Ba2LiSn4Rh3, relaxed; energy relative to the elements = -5.537 eV/f.u.; crystal system = tetragonal; magnetic moment = 0.000 μB per atom
1.0
4.790 0.000 0.000
0.000 4.790 0.000
0.000 0.000 10.581
Ba Li Sn Rh
2 1 4 3
Direct
0.500 0.000 0.257 Ba
0.000 0.500 0.743 Ba
0.500 0.500 0.500 Li
0.500 0.500 0.000 Sn
0.000 0.000 0.000 Sn
0.500 0.000 0.623 Sn
0.000 0.500 0.377 Sn
0.000 0.000 0.500 Rh
0.500 0.000 0.877 Rh
0.000 0.500 0.123 Rh

---

4.
PBE-GGA Mn2NbHRh, relaxed; energy relative to the lowest polymorph listed for this composition = 0 meV/atom; crystal system = tetragonal; magnetic moment = 0.632 μB per atom
1.0
-2.111 -1.012 3.072
-2.930 -0.955 -2.328
1.361 -3.583 -0.244
H Nb Mn Rh
1 1 2 1
Direct
0.000 0.000 0.000 H
0.500 0.500 0.500 Nb
0.000 0.500 0.000 Mn
0.500 0.000 0.000 Mn
0.000 0.000 0.500 Rh

---

5.
PBE-GGA LaCeMnN3, relaxed; crystal system = monoclinic; magnetic moment = 0.183 μB per atom; formation energy without anion corrections = -1.06 eV per atom
1.0
-0.944 -3.374 0.050
4.879 -1.446 -5.438
4.587 -1.197 5.792
La Ce Mn N
2 2 2 6
Direct
0.750 0.836 0.821 La
0.250 0.164 0.179 La
0.250 0.640 0.177 Ce
0.750 0.360 0.823 Ce
0.250 0.078 0.593 Mn
0.750 0.922 0.407 Mn
0.250 0.845 0.472 N
0.750 0.873 0.153 N
0.750 0.406 0.134 N
0.750 0.155 0.528 N
0.250 0.594 0.866 N
0.250 0.127 0.847 N

---

6.
PBE-GGA BeTcTe2, relaxed; crystal system = monoclinic; magnetic moment = 0.000 μB per atom; formation energy without anion corrections = 0.36 eV per atom
1.0
3.489 0.003 -0.006
1.747 3.020 -0.006
1.731 0.999 7.205
Be Te Tc
1 2 1
Direct
0.250 0.250 0.250 Be
0.996 0.996 0.016 Te
0.504 0.504 0.484 Te
0.750 0.750 0.750 Tc

---

7.
PBE-GGA PmEuMgHg, relaxed; energy relative to the elements = -1.077 eV/f.u.; crystal system = cubic; magnetic moment = 1.771 μB per atom
1.0
-1.820 3.872 3.431
-5.390 0.746 0.682
-2.389 -1.426 4.725
Eu Mg Hg Pm
1 1 1 1
Direct
0.250 0.250 0.250 Eu
0.000 0.000 0.000 Mg
0.500 0.500 0.500 Hg
0.750 0.750 0.750 Pm

---

8.
PBE-GGA AcPuAu10, relaxed; energy relative to the elements = -4.198 eV/f.u.; crystal system = orthorhombic; magnetic moment = 0.495 μB per atom
1.0
4.750 0.000 0.000
0.000 5.617 0.000
0.000 0.000 9.784
Ac Pu Au
1 1 10
Direct
0.000 0.500 0.500 Ac
0.000 0.000 0.000 Pu
0.000 0.000 0.327 Au
0.000 0.500 0.840 Au
0.000 0.500 0.160 Au
0.000 0.000 0.673 Au
0.500 0.000 0.500 Au
0.500 0.500 0.000 Au
0.500 0.250 0.249 Au
0.500 0.750 0.751 Au
0.500 0.750 0.249 Au
0.500 0.250 0.751 Au